Entry from the Alexandria database: an optimized crystal structure of Mg2MnVN4 (PBE-GGA).

The structure in CIF format:
```
data_Mg2MnVN4
_cell_length_a 5.0942
_cell_length_b 5.7404
_cell_length_c 6.5916
_cell_angle_alpha 90.00
_cell_angle_beta 90.00
_cell_angle_gamma 90.00
_space_group_name_H-M_alt 'P 1'
_space_group_IT_number 1
loop_
_space_group_symop_operation_xyz
'x,y,z'
loop_
_atom_site_label
_atom_site_type_symbol
_atom_site_fract_x
_atom_site_fract_y
_atom_site_fract_z
_atom_site_occupancy
V1 V 0.4980 0.8388 0.5000 1
V2 V 0.9980 0.1612 0.0000 1
Mg1 Mg 0.4881 0.3271 0.7502 1
Mg2 Mg 0.9881 0.6729 0.2502 1
Mg3 Mg 0.4881 0.3271 0.2498 1
Mg4 Mg 0.9881 0.6729 0.7498 1
N1 N 0.9072 0.3138 0.2389 1
N2 N 0.4072 0.6862 0.2611 1
N3 N 0.4072 0.6862 0.7389 1
N4 N 0.8534 0.8559 0.5000 1
N5 N 0.3534 0.1441 0.0000 1
N6 N 0.9072 0.3138 0.7611 1
N7 N 0.3660 0.1382 0.5000 1
N8 N 0.8660 0.8618 0.0000 1
Mn1 Mn 0.4918 0.8330 0.0000 1
Mn2 Mn 0.9918 0.1670 0.5000 1
```

Output
E, eV per atom: -7.562
Size of the total moment, μB per atom: 0.500